VASP calculation (PBE-GGA) on a relaxed structure of RbInF3.

a = 5.1169 Å, b = 8.9849 Å, c = 8.4672 Å
α = 105.73°, β = 90.00°, γ = 90.00°
Element x y z (fractional)
Rb 0.8124 0.1438 0.6112
Rb 0.1876 0.8562 0.3888
Rb 0.3124 0.3562 0.8888
Rb 0.6876 0.6438 0.1112
In 0.2030 0.4308 0.3844
In 0.7970 0.5692 0.6156
In 0.7030 0.0692 0.1156
In 0.2970 0.9308 0.8844
F 0.0124 0.8021 0.7054
F 0.9876 0.1979 0.2946
F 0.5124 0.6979 0.7946
F 0.4876 0.3021 0.2054
F 0.5243 0.6258 0.4381
F 0.4757 0.3742 0.5619
F 0.0243 0.8742 0.0619
F 0.9757 0.1258 0.9381
F 0.1513 0.5440 0.1897
F 0.8487 0.4560 0.8103
F 0.6513 0.9560 0.3103
F 0.3487 0.0440 0.6897

Summary:
Calculated density = 4.56 g cm⁻³
Raw formation energy = -238.7 kJ/mol of atoms
Total energy = -4.3375 eV/atom
SG = No. 14
Total magnetization = 0.000 μB/atom
V = 375 Å³ per cell



VASP calculation (PBE-GGA) on a relaxed structure of Rb4Pm3SnS8.

a = 8.3456 Å, b = 9.0791 Å, c = 8.3458 Å
α = 117.38°, β = 120.00°, γ = 90.00°
Element x y z (fractional)
Rb 0.5000 0.0000 0.0000
Rb 0.5000 0.0000 0.5000
Rb 0.0000 0.0000 0.0000
Rb 0.0000 0.0000 0.5000
Pm 0.5000 0.5000 0.0000
Pm 0.5000 0.5000 0.5000
Pm 0.0000 0.5000 0.5000
Sn 0.0000 0.5000 0.0000
S 0.2286 0.6937 0.9652
S 0.2287 0.6938 0.4574
S 0.2675 0.3027 0.5351
S 0.7366 0.6937 0.9652
S 0.2634 0.3063 0.0348
S 0.7325 0.6973 0.4649
S 0.7713 0.3062 0.5426
S 0.7714 0.3063 0.0348

Summary:
Calculated density = 4.12 g cm⁻³
Raw formation energy = -148.9 kJ/mol of atoms
Total energy = -4.9899 eV/atom
SG = No. 166
Total magnetization = 0.000 μB/atom
V = 464 Å³ per cell



VASP calculation (PBE-GGA) on a relaxed structure of ThZr2Hg.

a = 5.1871 Å, b = 5.1871 Å, c = 5.1890 Å
α = 60.01°, β = 60.01°, γ = 60.00°
Element x y z (fractional)
Th 0.5001 0.5001 0.4998
Zr 0.0000 0.0000 0.0000
Zr 0.2500 0.2500 0.2500
Hg 0.7499 0.7499 0.7502

Summary:
Calculated density = 10.34 g cm⁻³
Total energy = -6.1931 eV/atom
SG = No. 216
ΔE_f = 0.01 eV per atom
Total magnetization = 0.000 μB/atom
V = 99 Å³ per cell



VASP calculation (PBE-GGA) on a relaxed structure of Mg2ZrRe.

a = 2.8018 Å, b = 2.8018 Å, c = 9.9990 Å
α = 90.00°, β = 90.00°, γ = 108.00°
Element x y z (fractional)
Mg 0.0000 0.0000 0.0250
Mg 0.0000 0.0000 0.4750
Re 0.5000 0.5000 0.2500
Zr 0.5000 0.5000 0.7500

Summary:
Calculated density = 7.25 g cm⁻³
Total energy = -5.7953 eV/atom
SG = No. 65
ΔE_f = 0.25 eV per atom
Total magnetization = 0.000 μB/atom
V = 75 Å³ per cell



VASP calculation (PBE-GGA) on a relaxed structure of ErSnHgAu.

a = 5.0608 Å, b = 5.0608 Å, c = 5.0608 Å
α = 60.00°, β = 60.00°, γ = 60.00°
Element x y z (fractional)
Au 0.5000 0.5000 0.5000
Hg 0.0000 0.0000 0.0000
Sn 0.2500 0.2500 0.2500
Er 0.7500 0.7500 0.7500

Summary:
Calculated density = 12.38 g cm⁻³
Total energy = -3.5108 eV/atom
SG = No. 216
ΔE_f = -0.47 eV per atom
Total magnetization = 0.000 μB/atom
V = 92 Å³ per cell



VASP calculation (PBE-GGA) on a relaxed structure of ScHgF.

a = 3.2824 Å, b = 3.2819 Å, c = 13.9013 Å
α = 90.00°, β = 90.00°, γ = 120.00°
Element x y z (fractional)
Hg 0.6099 0.2199 0.0000
Hg 0.2825 0.5651 0.5000
F 0.6103 0.2207 0.2549
F 0.6103 0.2207 0.7451
Sc 0.2767 0.5534 0.8288
Sc 0.2767 0.5534 0.1712

Summary:
Calculated density = 6.77 g cm⁻³
Raw formation energy = -160.2 kJ/mol of atoms
Total energy = -4.4950 eV/atom
SG = No. 38
Total magnetization = 0.189 μB/atom
V = 130 Å³ per cell



Among the records above, which one has the highest total energy?
ErSnHgAu



Repeat the second record exactly.
VASP calculation (PBE-GGA) on a relaxed structure of Rb4Pm3SnS8.

a = 8.3456 Å, b = 9.0791 Å, c = 8.3458 Å
α = 117.38°, β = 120.00°, γ = 90.00°
Element x y z (fractional)
Rb 0.5000 0.0000 0.0000
Rb 0.5000 0.0000 0.5000
Rb 0.0000 0.0000 0.0000
Rb 0.0000 0.0000 0.5000
Pm 0.5000 0.5000 0.0000
Pm 0.5000 0.5000 0.5000
Pm 0.0000 0.5000 0.5000
Sn 0.0000 0.5000 0.0000
S 0.2286 0.6937 0.9652
S 0.2287 0.6938 0.4574
S 0.2675 0.3027 0.5351
S 0.7366 0.6937 0.9652
S 0.2634 0.3063 0.0348
S 0.7325 0.6973 0.4649
S 0.7713 0.3062 0.5426
S 0.7714 0.3063 0.0348

Summary:
Calculated density = 4.12 g cm⁻³
Raw formation energy = -148.9 kJ/mol of atoms
Total energy = -4.9899 eV/atom
SG = No. 166
Total magnetization = 0.000 μB/atom
V = 464 Å³ per cell



Among the records above, which one has the lowest V?
Mg2ZrRe